[1]
UNbCu | the Open Quantum Materials Database | GGA-PBE | relaxed; crystal system = cubic; energy above the most stable polymorph in this dataset = 0 meV/atom; energy of formation from the pure elements = 800 meV per atom; calculated total energy = -22.7 eV per cell
1.0
4.125 -1.063 -1.116
2.481 -2.382 2.750
1.007 -4.170 -0.995
Nb U Cu
1 1 1
direct
0.250 0.250 0.250 Nb
0.750 0.750 0.750 U
0.000 0.000 0.000 Cu

[2]
TlFeNiPd | the Open Quantum Materials Database | GGA-PBE | relaxed; crystal system = cubic; energy above the most stable polymorph in this dataset = 0 meV/atom; calculated total energy = -20.7 eV per cell
1.0
0.000 3.134 3.134
3.134 0.000 3.134
3.134 3.134 0.000
Tl Ni Fe Pd
1 1 1 1
direct
0.000 0.000 0.000 Tl
0.750 0.750 0.750 Ni
0.500 0.500 0.500 Fe
0.250 0.250 0.250 Pd

[3]
RbCuTcIr | the Open Quantum Materials Database | GGA-PBE | relaxed; crystal system = cubic; energy above the most stable polymorph in this dataset = 0 meV/atom; calculated total energy = -18.6 eV per cell
1.0
0.000 3.256 3.256
3.256 0.000 3.256
3.256 3.256 0.000
Rb Ir Cu Tc
1 1 1 1
direct
0.500 0.500 0.500 Rb
0.000 0.000 0.000 Ir
0.750 0.750 0.750 Cu
0.250 0.250 0.250 Tc

[4]
ZnCuPt2 | the Open Quantum Materials Database | GGA-PBE | relaxed; crystal system = orthorhombic; energy of formation from the pure elements = -357 meV per atom; calculated total energy = -37.0 eV per cell
1.0
4.359 0.000 0.000
0.000 5.821 0.000
0.000 0.000 4.402
Pt Zn Cu
4 2 2
direct
0.500 0.250 0.769 Pt
0.000 0.750 0.231 Pt
0.000 0.250 0.231 Pt
0.500 0.750 0.769 Pt
0.000 0.000 0.728 Zn
0.500 0.500 0.272 Zn
0.000 0.500 0.730 Cu
0.500 0.000 0.270 Cu

[5]
Li2LuPb | the Open Quantum Materials Database | GGA-PBE | relaxed; crystal system = cubic; calculated total energy = -13.0 eV per cell
1.0
-1.099 -2.919 3.885
-2.783 1.768 3.736
-4.657 -1.653 0.636
Li Lu Pb
2 1 1
direct
0.750 0.750 0.750 Li
0.000 0.000 0.000 Li
0.250 0.250 0.250 Lu
0.500 0.500 0.500 Pb

[6]
Pr3Al9Ag2 | the Open Quantum Materials Database | GGA-PBE | relaxed; crystal system = orthorhombic; calculated total energy = -59.3 eV per cell
1.0
-2.359 -7.854 2.201
0.769 0.856 8.413
-4.134 1.729 -7.213
Al Ag Pr
9 2 3
direct
0.465 0.835 0.630 Al
0.908 0.632 0.276 Al
0.644 0.368 0.276 Al
0.000 0.500 0.500 Al
0.535 0.165 0.370 Al
0.092 0.368 0.724 Al
0.205 0.835 0.370 Al
0.795 0.165 0.630 Al
0.356 0.632 0.724 Al
0.783 0.000 0.783 Ag
0.217 0.000 0.217 Ag
0.500 0.500 0.000 Pr
0.813 0.813 0.000 Pr
0.187 0.187 0.000 Pr